Material: Nd5Al3Cd12
Method: DFT, PBE-GGA
State: optimized geometry

a b c (Å): 15.006 15.006 15.006
angles (deg): 109.47 109.47 109.47
Fractional coordinates of all 80 atoms:
Nd (0.000, 0.000, 0.000)
Nd (0.000, 0.000, 0.500)
Nd (0.000, 0.500, 0.000)
Nd (0.000, 0.500, 0.500)
Nd (0.125, 0.750, 0.875)
Nd (0.125, 0.875, 0.250)
Nd (0.250, 0.125, 0.875)
Nd (0.250, 0.625, 0.375)
Nd (0.375, 0.250, 0.625)
Nd (0.375, 0.625, 0.750)
Nd (0.500, 0.000, 0.000)
Nd (0.500, 0.000, 0.500)
Nd (0.500, 0.500, 0.000)
Nd (0.500, 0.500, 0.500)
Nd (0.625, 0.375, 0.250)
Nd (0.625, 0.750, 0.375)
Nd (0.750, 0.375, 0.625)
Nd (0.750, 0.875, 0.125)
Nd (0.875, 0.125, 0.750)
Nd (0.875, 0.250, 0.125)
Al (0.125, 0.250, 0.375)
Al (0.125, 0.375, 0.750)
Al (0.250, 0.375, 0.125)
Al (0.250, 0.875, 0.625)
Al (0.375, 0.125, 0.250)
Al (0.375, 0.750, 0.125)
Al (0.625, 0.250, 0.875)
Al (0.625, 0.875, 0.750)
Al (0.750, 0.125, 0.375)
Al (0.750, 0.625, 0.875)
Al (0.875, 0.625, 0.250)
Al (0.875, 0.750, 0.625)
Cd (0.055, 0.641, 0.394)
Cd (0.055, 0.914, 0.661)
Cd (0.086, 0.246, 0.141)
Cd (0.086, 0.339, 0.945)
Cd (0.106, 0.746, 0.661)
Cd (0.106, 0.859, 0.445)
Cd (0.141, 0.086, 0.246)
Cd (0.141, 0.555, 0.894)
Cd (0.161, 0.246, 0.606)
Cd (0.161, 0.414, 0.555)
Cd (0.246, 0.141, 0.086)
Cd (0.246, 0.606, 0.161)
Cd (0.254, 0.339, 0.894)
Cd (0.254, 0.414, 0.359)
Cd (0.339, 0.894, 0.254)
Cd (0.339, 0.945, 0.086)
Cd (0.359, 0.254, 0.414)
Cd (0.359, 0.606, 0.945)
Cd (0.394, 0.055, 0.641)
Cd (0.394, 0.839, 0.754)
Cd (0.414, 0.359, 0.254)
Cd (0.414, 0.555, 0.161)
Cd (0.445, 0.106, 0.859)
Cd (0.445, 0.839, 0.586)
Cd (0.555, 0.161, 0.414)
Cd (0.555, 0.894, 0.141)
Cd (0.586, 0.445, 0.839)
Cd (0.586, 0.641, 0.746)
Cd (0.606, 0.161, 0.246)
Cd (0.606, 0.945, 0.359)
Cd (0.641, 0.394, 0.055)
Cd (0.641, 0.746, 0.586)
Cd (0.661, 0.055, 0.914)
Cd (0.661, 0.106, 0.746)
Cd (0.746, 0.586, 0.641)
Cd (0.746, 0.661, 0.106)
Cd (0.754, 0.394, 0.839)
Cd (0.754, 0.859, 0.914)
Cd (0.839, 0.586, 0.445)
Cd (0.839, 0.754, 0.394)
Cd (0.859, 0.445, 0.106)
Cd (0.859, 0.914, 0.754)
Cd (0.894, 0.141, 0.555)
Cd (0.894, 0.254, 0.339)
Cd (0.914, 0.661, 0.055)
Cd (0.914, 0.754, 0.859)
Cd (0.945, 0.086, 0.339)
Cd (0.945, 0.359, 0.606)

Properties
Uncorrected energy (eV/atom): -1.972
Magnetization (μB/f.u.): 0.0
DFT formation energy (meV/atom): 331
Fermi-level density of states (states/eV per atom): 0.89
Calculated density (kg/m3): 5492
Crystal system: cubic
Space-group type: Ia-3d